1.
Here is crystalline Dy3ErTm2Bi6 at its relaxed geometry from Alexandria. Energies are from PBE-GGA.

Lattice parameters (Å, degrees): 9.955 9.955 8.907 102.85 102.85 25.84
Element x y z (fractional)
Dy (0.000, 0.000, 0.000)
Dy (0.334, 0.334, 0.667)
Dy (0.666, 0.666, 0.333)
Er (0.000, 0.000, 0.500)
Tm (0.333, 0.333, 0.167)
Tm (0.667, 0.667, 0.833)
Bi (0.166, 0.166, 0.585)
Bi (0.167, 0.167, 0.082)
Bi (0.499, 0.499, 0.251)
Bi (0.501, 0.501, 0.749)
Bi (0.833, 0.833, 0.918)
Bi (0.834, 0.834, 0.415)

V   31.221 Å³/atom
Calculated formation energy   -9.9 eV per formula unit
SG   C2/m, No. 12


2.
Here is crystalline Y2Mn2Ni15 at its relaxed geometry from Alexandria. Energies are from PBE-GGA.

Lattice parameters (Å, degrees): 6.301 6.301 6.301 82.71 82.71 82.71
Element x y z (fractional)
Y (0.154, 0.154, 0.154)
Y (0.846, 0.846, 0.846)
Mn (0.398, 0.398, 0.398)
Mn (0.602, 0.602, 0.602)
Ni (0.000, 0.500, 0.500)
Ni (0.155, 0.155, 0.654)
Ni (0.155, 0.654, 0.155)
Ni (0.205, 0.500, 0.795)
Ni (0.205, 0.795, 0.500)
Ni (0.346, 0.845, 0.845)
Ni (0.500, 0.000, 0.500)
Ni (0.500, 0.205, 0.795)
Ni (0.500, 0.500, 0.000)
Ni (0.500, 0.795, 0.205)
Ni (0.654, 0.155, 0.155)
Ni (0.795, 0.205, 0.500)
Ni (0.795, 0.500, 0.205)
Ni (0.845, 0.346, 0.845)
Ni (0.845, 0.845, 0.346)

V   12.872 Å³/atom
Calculated formation energy   -4.0 eV per formula unit
SG   R-3m, No. 166